1.
# PBE Ac14PrIn, relaxed
data_Ac14PrIn
_chemical_formula_sum 'Ac14 Pr1 In1'
_symmetry_space_group_name_H-M 'P 1'
_symmetry_Int_Tables_number 1
_cell_length_a 7.844
_cell_length_b 7.844
_cell_length_c 11.103
_cell_angle_alpha 90.00
_cell_angle_beta 90.00
_cell_angle_gamma 89.99
loop_
_symmetry_equiv_pos_as_xyz
'x,y,z'
loop_
_atom_site_label
_atom_site_type_symbol
_atom_site_fract_x
_atom_site_fract_y
_atom_site_fract_z
Ac1 Ac 0.627 0.877 0.758
Ac2 Ac 0.375 0.625 0.500
Ac3 Ac 0.123 0.373 0.242
Ac4 Ac 0.375 0.125 0.500
Ac5 Ac 0.123 0.373 0.758
Ac6 Ac 0.875 0.625 0.500
Ac7 Ac 0.123 0.877 0.242
Ac8 Ac 0.627 0.373 0.759
Ac9 Ac 0.627 0.373 0.241
Ac10 Ac 0.875 0.125 0.500
Ac11 Ac 0.875 0.626 0.000
Ac12 Ac 0.374 0.125 0.000
Ac13 Ac 0.627 0.877 0.242
Ac14 Ac 0.123 0.877 0.758
Pr1 Pr 0.375 0.625 0.000
In1 In 0.875 0.125 0.000
# energy relative to the elements	-0.027	eV/atom
# space-group type	Amm2 (38)
# final energy	-4.0915	eV/atom
# magnetic moment	0.00	μB/f.u.

***

2.
# PBE Rb2Ge2Pd, relaxed
data_Rb2Ge2Pd
_chemical_formula_sum 'Rb4 Ge4 Pd2'
_symmetry_space_group_name_H-M 'P 1'
_symmetry_Int_Tables_number 1
_cell_length_a 6.775
_cell_length_b 6.775
_cell_length_c 5.854
_cell_angle_alpha 90.00
_cell_angle_beta 90.00
_cell_angle_gamma 90.00
loop_
_symmetry_equiv_pos_as_xyz
'x,y,z'
loop_
_atom_site_label
_atom_site_type_symbol
_atom_site_fract_x
_atom_site_fract_y
_atom_site_fract_z
Pd1 Pd 0.500 0.500 0.000
Pd2 Pd 0.000 0.000 0.000
Rb1 Rb 0.190 0.690 0.500
Rb2 Rb 0.690 0.810 0.500
Rb3 Rb 0.310 0.190 0.500
Rb4 Rb 0.810 0.310 0.500
Ge1 Ge 0.130 0.370 0.000
Ge2 Ge 0.630 0.130 0.000
Ge3 Ge 0.870 0.630 0.000
Ge4 Ge 0.370 0.870 0.000
# energy relative to the elements	-0.057	eV/atom
# space-group type	P4/mbm (127)
# final energy	-3.3294	eV/atom
# magnetic moment	0.00	μB/f.u.

***

3.
# PBE InGeF3, relaxed
data_InGeF3
_chemical_formula_sum 'In1 Ge1 F3'
_symmetry_space_group_name_H-M 'P 1'
_symmetry_Int_Tables_number 1
_cell_length_a 4.417
_cell_length_b 4.417
_cell_length_c 4.417
_cell_angle_alpha 90.00
_cell_angle_beta 90.00
_cell_angle_gamma 90.00
loop_
_symmetry_equiv_pos_as_xyz
'x,y,z'
loop_
_atom_site_label
_atom_site_type_symbol
_atom_site_fract_x
_atom_site_fract_y
_atom_site_fract_z
Ge1 Ge 0.500 0.500 0.500
In1 In 0.000 0.000 0.000
F1 F 0.000 0.500 0.000
F2 F 0.000 0.000 0.500
F3 F 0.500 0.000 0.000
# space-group type	Pm-3m (221)
# final energy	-4.0225	eV/atom
# formation energy (no corrections)	-1.429	eV per atom
# magnetic moment	0.00	μB/f.u.